# 1
# Ti3InH2 (PBE, relaxed)
# calculated total energy	-139.1	eV for the cell shown
# D(E_F)	1.15	states/eV/atom
# size of the total moment	0.0	Bohr magnetons per cell
data_Ti3InH2
_space_group_name_H-M_alt 'C m c m'
_space_group_IT_number 63
_space_group_name_Hall '-C 2c 2'
_cell_length_a 8.313
_cell_length_b 8.802
_cell_length_c 4.275
_cell_angle_alpha 90.00
_cell_angle_beta 90.00
_cell_angle_gamma 90.00
loop_
_atom_site_label
_atom_site_type_symbol
_atom_site_fract_x
_atom_site_fract_y
_atom_site_fract_z
_atom_site_occupancy
Ti1 Ti 0.000 0.125 0.250 1
Ti2 Ti 0.238 0.368 0.250 1
In1 In 0.000 0.356 0.750 1
H1 H 0.134 0.000 0.000 1

***

# 2
# LiIn4Os (PBE, relaxed)
# calculated total energy	-80.5	eV for the cell shown
# D(E_F)	0.51	states/eV/atom
# energy of formation from the pure elements	0.66	eV per atom
# size of the total moment	3.7	Bohr magnetons per cell
data_LiIn4Os
_space_group_name_H-M_alt 'F -4 3 m'
_space_group_IT_number 216
_space_group_name_Hall 'F -4 2 3'
_cell_length_a 8.070
_cell_length_b 8.070
_cell_length_c 8.070
_cell_angle_alpha 90.00
_cell_angle_beta 90.00
_cell_angle_gamma 90.00
loop_
_atom_site_label
_atom_site_type_symbol
_atom_site_fract_x
_atom_site_fract_y
_atom_site_fract_z
_atom_site_occupancy
Li1 Li 0.000 0.000 0.000 1
In1 In 0.125 0.125 0.375 1
Os1 Os 0.250 0.250 0.750 1

***

# 3
# PaB2BrO6 (PBE, relaxed)
# formation energy from raw total energies	-2.3650	eV/atom
# calculated total energy	-311.7	eV for the cell shown
# D(E_F)	0.00	states/eV/atom
# size of the total moment	0.0	Bohr magnetons per cell
data_PaB2BrO6
_space_group_name_H-M_alt 'C 1 2/c 1'
_space_group_IT_number 15
_space_group_name_Hall '-C 2yc'
_cell_length_a 9.128
_cell_length_b 9.135
_cell_length_c 7.519
_cell_angle_alpha 90.00
_cell_angle_beta 121.44
_cell_angle_gamma 90.00
loop_
_atom_site_label
_atom_site_type_symbol
_atom_site_fract_x
_atom_site_fract_y
_atom_site_fract_z
_atom_site_occupancy
Pa1 Pa 0.000 0.066 0.250 1
B1 B 0.241 0.349 0.223 1
Br1 Br 0.000 0.409 0.750 1
O1 O 0.115 0.093 0.601 1
O2 O 0.150 0.237 0.241 1
O3 O 0.221 0.417 0.047 1

***

# 4
# Ac2Al4GaPt3 (PBE, relaxed)
# calculated total energy	-53.9	eV for the cell shown
# D(E_F)	0.69	states/eV/atom
# energy of formation from the pure elements	-0.96	eV per atom
# size of the total moment	0.0	Bohr magnetons per cell
data_Ac2Al4GaPt3
_space_group_name_H-M_alt 'P -4 m 2'
_space_group_IT_number 115
_space_group_name_Hall 'P -4 -2'
_cell_length_a 4.457
_cell_length_b 4.457
_cell_length_c 10.506
_cell_angle_alpha 90.00
_cell_angle_beta 90.00
_cell_angle_gamma 90.00
loop_
_atom_site_label
_atom_site_type_symbol
_atom_site_fract_x
_atom_site_fract_y
_atom_site_fract_z
_atom_site_occupancy
Ac1 Ac 0.000 0.500 0.248 1
Al1 Al 0.000 0.000 0.500 1
Al2 Al 0.000 0.500 0.868 1
Al3 Al 0.500 0.500 0.500 1
Ga1 Ga 0.500 0.500 0.000 1
Pt1 Pt 0.000 0.000 0.000 1
Pt2 Pt 0.000 0.500 0.625 1